# TbEr3Mn PBE-GGA relaxed
data_TbEr3Mn
_cell_length_a 5.2514
_cell_length_b 5.2514
_cell_length_c 5.2514
_cell_angle_alpha 90.00
_cell_angle_beta 90.00
_cell_angle_gamma 90.00
_space_group_name_H-M_alt 'P 1'
_space_group_IT_number 1
loop_
_space_group_symop_operation_xyz
'x,y,z'
loop_
_atom_site_label
_atom_site_type_symbol
_atom_site_fract_x
_atom_site_fract_y
_atom_site_fract_z
Tb1 Tb 0.5000 0.5000 0.5000
Er1 Er 0.0000 0.0000 0.5000
Er2 Er 0.0000 0.5000 0.0000
Er3 Er 0.5000 0.0000 0.0000
Mn1 Mn 0.0000 0.0000 0.0000
# Total energy: -5.2723 eV per atom
# Calculated volume: 28.96 Å³ per atom
# DFT formation energy: 0.2254 eV per atom

***

# KIn7Ga5 PBE-GGA relaxed
data_KIn7Ga5
_cell_length_a 6.0140
_cell_length_b 7.9823
_cell_length_c 7.9823
_cell_angle_alpha 79.70
_cell_angle_beta 67.87
_cell_angle_gamma 67.87
_space_group_name_H-M_alt 'P 1'
_space_group_IT_number 1
loop_
_space_group_symop_operation_xyz
'x,y,z'
loop_
_atom_site_label
_atom_site_type_symbol
_atom_site_fract_x
_atom_site_fract_y
_atom_site_fract_z
Ga1 Ga 0.9978 0.5103 0.9934
Ga2 Ga 0.4985 0.9934 0.5103
Ga3 Ga 0.7231 0.7769 0.7769
Ga4 Ga 0.9978 0.9934 0.5103
Ga5 Ga 0.4985 0.5103 0.9934
In1 In 0.2786 0.2214 0.2214
In2 In 0.5022 0.2063 0.7893
In3 In 0.3560 0.6440 0.6440
In4 In 0.9959 0.3546 0.6536
In5 In 0.6496 0.3504 0.3504
In6 In 0.5022 0.7893 0.2063
In7 In 0.9959 0.6536 0.3546
K1 K 0.0039 0.9961 0.9961
# Total energy: -2.7372 eV per atom
# Calculated volume: 25.27 Å³ per atom
# DFT formation energy: -0.0140 eV per atom

***

# SmNi2SnH PBE-GGA relaxed
data_SmNi2SnH
_cell_length_a 4.1229
_cell_length_b 5.8613
_cell_length_c 6.8727
_cell_angle_alpha 90.00
_cell_angle_beta 90.00
_cell_angle_gamma 110.59
_space_group_name_H-M_alt 'P 1'
_space_group_IT_number 1
loop_
_space_group_symop_operation_xyz
'x,y,z'
loop_
_atom_site_label
_atom_site_type_symbol
_atom_site_fract_x
_atom_site_fract_y
_atom_site_fract_z
Sn1 Sn 0.7152 0.4304 0.7500
Sn2 Sn 0.2848 0.5696 0.2500
H1 H 0.0000 0.0000 0.5000
H2 H 0.0000 0.0000 0.0000
Sm1 Sm 0.4309 0.8618 0.7500
Sm2 Sm 0.5691 0.1382 0.2500
Ni1 Ni 0.8544 0.7088 0.4440
Ni2 Ni 0.1456 0.2912 0.9440
Ni3 Ni 0.8544 0.7088 0.0560
Ni4 Ni 0.1456 0.2912 0.5560
# Total energy: -5.1761 eV per atom
# Calculated volume: 15.55 Å³ per atom